Below is a relaxed Ca2NiBO5 crystal, with properties calculated at the PBE with a Hubbard U level.

abc: 6.699 6.699 9.843
angles: 90.00 90.00 153.83
Fractional positions:
1 Ca 0.113 0.887 0.500
2 Ca 0.140 0.860 0.153
3 Ca 0.860 0.140 0.653
4 Ca 0.887 0.113 0.000
5 Ni 0.199 0.801 0.860
6 Ni 0.801 0.199 0.360
7 B 0.434 0.566 0.244
8 B 0.566 0.434 0.744
9 O 0.051 0.949 0.835
10 O 0.292 0.708 0.494
11 O 0.326 0.674 0.218
12 O 0.341 0.659 0.838
13 O 0.498 0.502 0.133
14 O 0.502 0.498 0.633
15 O 0.659 0.341 0.338
16 O 0.674 0.326 0.718
17 O 0.708 0.292 0.994
18 O 0.949 0.051 0.335

## Properties
For the density, the calculation gives 3.914 Mg/m³. The value obtained for the total energy is -0.468 Ry/atom.



Below is a relaxed CoNiAs2O8 crystal, with properties calculated at the PBE with a Hubbard U level.

abc: 5.593 5.593 5.593
angles: 108.38 108.38 111.68
Fractional positions:
1 Co 0.000 0.000 0.000
2 Ni 0.250 0.750 0.500
3 As 0.500 0.500 0.000
4 As 0.750 0.250 0.500
5 O 0.311 0.121 0.810
6 O 0.311 0.501 0.190
7 O 0.370 0.066 0.304
8 O 0.499 0.689 0.810
9 O 0.762 0.066 0.696
10 O 0.879 0.689 0.190
11 O 0.934 0.238 0.304
12 O 0.934 0.630 0.696

## Properties
For the density, the calculation gives 4.880 Mg/m³. The value obtained for the total energy is -0.405 Ry/atom.